DFT (PBE) results for a relaxed structure of Pm2Fe12Si7.

Results
Size of the total moment in Bohr magnetons per cell: 10.9
DOS(E_F) in states/eV per cell: 20.01
Calculated total energy in eV per formula unit: -157.06
Formation energy from raw total energies in meV per atom: -383
Space group: P-6, No. 174

abc: 9.198 9.198 3.762
angles: 90.00 90.00 120.00
Atoms (fractional coordinates):
Pm (0.000, 0.000, 0.000)
Pm (0.333, 0.667, 0.500)
Fe (0.055, 0.761, 0.500)
Fe (0.110, 0.372, 0.000)
Fe (0.239, 0.295, 0.500)
Fe (0.262, 0.890, 0.000)
Fe (0.389, 0.204, 0.000)
Fe (0.560, 0.123, 0.500)
Fe (0.564, 0.440, 0.500)
Fe (0.628, 0.738, 0.000)
Fe (0.705, 0.945, 0.500)
Fe (0.796, 0.184, 0.000)
Fe (0.816, 0.611, 0.000)
Fe (0.877, 0.436, 0.500)
Si (0.053, 0.596, 0.000)
Si (0.274, 0.051, 0.500)
Si (0.404, 0.457, 0.000)
Si (0.543, 0.947, 0.000)
Si (0.667, 0.333, 0.000)
Si (0.777, 0.726, 0.500)
Si (0.949, 0.223, 0.500)